Entry 1:
Entry from Alexandria: Rb2PuSbSe4 after structural relaxation (PBE-GGA).

Cell: 8.9675 8.9675 8.9675 Å, 120.06 120.02 89.94°
Fractional coordinates of all 16 atoms:
Rb: 0.0000 0.0000 0.0000
Rb: 0.5000 0.0000 0.0000
Rb: 0.5000 0.0000 0.5000
Rb: 0.5000 0.5000 0.5000
Pu: 0.0000 0.5000 0.5000
Pu: 0.5000 0.5000 0.0000
Sb: 0.0000 0.0000 0.5000
Sb: 0.0000 0.5000 0.0000
Se: 0.1981 0.7325 0.4656
Se: 0.2317 0.2681 0.5365
Se: 0.2317 0.6952 0.9635
Se: 0.2331 0.2675 0.9656
Se: 0.7669 0.7325 0.0344
Se: 0.7683 0.3048 0.0365
Se: 0.7683 0.7319 0.4635
Se: 0.8019 0.2675 0.5344

## Properties
- formation energy (no corrections) (eV per atom) = -1.017

=====

Entry 2:
Entry from Alexandria: Sm4PHSe2 after structural relaxation (PBE-GGA).

Cell: 6.9342 4.0607 7.1109 Å, 90.00 108.82 90.00°
Fractional coordinates of all 8 atoms:
Sm: 0.2428 0.0000 0.2305
Sm: 0.2510 0.5000 0.7625
Sm: 0.7490 0.5000 0.2375
Sm: 0.7572 0.0000 0.7695
P: 0.0000 0.5000 0.0000
H: 0.5000 0.0000 0.0000
Se: 0.0000 0.0000 0.5000
Se: 0.5000 0.5000 0.5000

## Properties
- calculated total energy (eV/atom) = -5.701

=====

Entry 3:
Entry from Alexandria: SrB2Se4 after structural relaxation (PBE-GGA).

Cell: 6.1294 6.1294 6.1294 Å, 101.59 101.59 126.74°
Fractional coordinates of all 7 atoms:
Sr: 0.0000 0.0000 0.0000
B: 0.2500 0.7500 0.5000
B: 0.7500 0.2500 0.5000
Se: 0.1590 0.3754 0.5344
Se: 0.3754 0.8410 0.2164
Se: 0.6246 0.1590 0.7836
Se: 0.8410 0.6246 0.4656

## Properties
- formation energy (no corrections) (eV per atom) = -0.630

=====

Entry 4:
Entry from Alexandria: LiAg4Hg after structural relaxation (PBE-GGA).

Cell: 6.7551 6.7551 4.1314 Å, 90.00 90.00 144.96°
Fractional coordinates of all 6 atoms:
Li: 0.0000 0.0000 0.0000
Ag: 0.1669 0.8331 0.5000
Ag: 0.3328 0.6672 0.0000
Ag: 0.6672 0.3328 0.0000
Ag: 0.8331 0.1669 0.5000
Hg: 0.5000 0.5000 0.5000

## Properties
- E above lowest polymorph (eV per atom) = 0.000

=====

Entry 5:
Entry from Alexandria: TaReTc2 after structural relaxation (PBE-GGA).

Cell: 2.7635 4.3671 5.2519 Å, 90.00 101.15 90.00°
Fractional coordinates of all 4 atoms:
Ta: 0.0000 0.0000 0.0000
Re: 0.5000 0.0000 0.5000
Tc: 0.2094 0.5000 0.7490
Tc: 0.7906 0.5000 0.2510

## Properties
- E above lowest polymorph (eV per atom) = 0.065

=====

Entry 6:
Entry from Alexandria: LaPm4Nd5 after structural relaxation (PBE-GGA).

Cell: 3.6867 3.6867 25.9848 Å, 90.00 90.00 90.00°
Fractional coordinates of all 10 atoms:
La: 0.0000 0.0000 0.0000
Pm: 0.0000 0.0000 0.2015
Pm: 0.0000 0.0000 0.4006
Pm: 0.0000 0.0000 0.5994
Pm: 0.0000 0.0000 0.7985
Nd: 0.5000 0.5000 0.1020
Nd: 0.5000 0.5000 0.3011
Nd: 0.5000 0.5000 0.5000
Nd: 0.5000 0.5000 0.6989
Nd: 0.5000 0.5000 0.8980

## Properties
- E above lowest polymorph (eV per atom) = 0.000

=====

Entry 7:
Entry from Alexandria: LaPr2Nd4Sm2 after structural relaxation (PBE-GGA).

Cell: 8.2431 8.2431 8.2356 Å, 107.59 107.59 36.93°
Fractional coordinates of all 9 atoms:
La: 0.0000 0.0000 0.0000
Pr: 0.1114 0.1114 0.6664
Pr: 0.8886 0.8886 0.3336
Nd: 0.2220 0.2220 0.3322
Nd: 0.4441 0.4441 0.6672
Nd: 0.5559 0.5559 0.3328
Nd: 0.7780 0.7780 0.6678
Sm: 0.3322 0.3322 0.0007
Sm: 0.6678 0.6678 0.9993

## Properties
- calculated total energy (eV/atom) = -4.764

=====

Entry 8:
Entry from Alexandria: Li2OsF after structural relaxation (PBE-GGA).

Cell: 4.4002 4.4002 4.4002 Å, 60.00 60.00 60.00°
Fractional coordinates of all 4 atoms:
Li: 0.2500 0.2500 0.2500
Li: 0.7500 0.7500 0.7500
Os: 0.0000 0.0000 0.0000
F: 0.5000 0.5000 0.5000

## Properties
- formation energy (no corrections) (eV per atom) = 0.403
- E above lowest polymorph (eV per atom) = 0.750